Ti6In2B: optimized geometry, GGA-PBE.

Geometry as POSCAR:
```
Ti6In2B
1.0
6.9795 -1.5727 0.0000
6.9795 1.5727 0.0000
-2.7377 0.0000 6.8677
Ti In B
6 2 1
Direct
0.0384 0.0384 0.2479
0.1570 0.1570 0.9914
0.2924 0.2924 0.6796
0.7076 0.7076 0.3204
0.8430 0.8430 0.0086
0.9616 0.9616 0.7521
0.3871 0.3871 0.3738
0.6129 0.6129 0.6262
0.5000 0.5000 0.0000
```

Values from the calculation:
For the total energy, the calculation gives -60.57 eV/cell.

---

TlCu2Ru: optimized geometry, GGA-PBE.

Geometry as POSCAR:
```
TlCu2Ru
1.0
3.0560 0.0000 0.0000
0.0000 3.0560 0.0000
0.0000 0.0000 6.6312
Tl Cu Ru
1 2 1
Direct
0.0000 0.0000 0.0000
0.0000 0.0000 0.4859
0.5000 0.5000 0.2934
0.5000 0.5000 0.7067
```

Values from the calculation:
For the total energy, the calculation gives -18.15 eV/cell. The calculation puts the energy above the lowest structure with this stoichiometry at 77.2 meV per atom.

---

BaCaIr2: optimized geometry, GGA-PBE.

Geometry as POSCAR:
```
BaCaIr2
1.0
3.5828 0.0000 0.0000
0.0000 3.5828 0.0000
0.0000 0.0000 8.8060
Ba Ca Ir
1 1 2
Direct
0.0000 0.0000 0.0000
0.5000 0.5000 0.4165
0.0000 0.0000 0.6548
0.5000 0.5000 0.7266
```

Values from the calculation:
For the total energy, the calculation gives -21.16 eV/cell. The calculation puts the energy above the lowest structure with this stoichiometry at 380.4 meV per atom.

---

Sm4TeN2: optimized geometry, GGA-PBE.

Geometry as POSCAR:
```
Sm4TeN2
1.0
1.8685 1.0788 13.3246
-1.8685 1.0788 13.3246
0.0000 -2.1575 13.3246
Sm Te N
4 1 2
Direct
0.1240 0.1240 0.1240
0.2762 0.2762 0.2762
0.7238 0.7238 0.7238
0.8760 0.8760 0.8760
0.0000 0.0000 0.0000
0.4233 0.4233 0.4233
0.5767 0.5767 0.5767
```

Values from the calculation:
For the total energy, the calculation gives -46.63 eV/cell. For the energy relative to the elements, uncorrected, the calculation gives -1.137 eV per atom.

---

PrZnCd: optimized geometry, GGA-PBE.

Geometry as POSCAR:
```
PrZnCd
1.0
4.8793 0.0000 0.0000
-2.4397 4.2256 0.0000
0.0000 0.0000 3.5407
Pr Zn Cd
1 1 1
Direct
0.0000 0.0000 0.0000
0.6667 0.3333 0.5000
0.3333 0.6667 0.5000
```

Values from the calculation:
For the total energy, the calculation gives -7.91 eV/cell.

---

CoTeAs2: optimized geometry, GGA-PBE.

Geometry as POSCAR:
```
CoTeAs2
1.0
-2.9300 2.9300 5.6514
2.9300 -2.9300 5.6514
2.9300 2.9300 -5.6514
Co Te As
2 2 4
Direct
0.0000 0.0000 0.0000
0.7500 0.2500 0.5000
0.2500 0.7500 0.5000
0.5000 0.5000 0.0000
0.0319 0.6250 0.9069
0.3750 0.2819 0.4069
0.7181 0.1250 0.0931
0.8750 0.9681 0.5931
```

Values from the calculation:
For the total energy, the calculation gives -38.08 eV/cell. For the energy relative to the elements, uncorrected, the calculation gives 0.127 eV per atom.

---

TaNiP2S: optimized geometry, GGA-PBE.

Geometry as POSCAR:
```
TaNiP2S
1.0
4.8248 0.0000 0.0000
0.0000 4.8248 0.0000
0.0000 0.0000 4.6777
Ta Ni P S
1 1 2 1
Direct
0.0000 0.0000 0.0000
0.5000 0.5000 0.5000
0.0000 0.5000 0.0000
0.5000 0.0000 0.0000
0.0000 0.0000 0.5000
```

Values from the calculation:
For the total energy, the calculation gives -29.27 eV/cell. For the energy relative to the elements, uncorrected, the calculation gives 0.663 eV per atom. The calculation puts the energy above the lowest structure with this stoichiometry at 32.4 meV per atom.

---

CoIr4Rh3: optimized geometry, GGA-PBE.

Geometry as POSCAR:
```
CoIr4Rh3
1.0
-1.3470 4.3579 4.9076
1.3470 -4.3579 4.9076
1.3470 4.3579 -4.9076
Co Ir Rh
1 4 3
Direct
0.0000 0.0000 0.0000
0.1220 0.8698 0.2522
0.3824 0.1302 0.2522
0.6176 0.8698 0.7478
0.8780 0.1302 0.7478
0.2167 0.7167 0.5000
0.5000 0.5000 0.0000
0.7833 0.2833 0.5000
```

Values from the calculation:
For the total energy, the calculation gives -63.32 eV/cell. The calculation puts the energy above the lowest structure with this stoichiometry at 152.0 meV per atom.

---

LaSi2Rh4: optimized geometry, GGA-PBE.

Geometry as POSCAR:
```
LaSi2Rh4
1.0
17.0197 0.0000 0.0000
0.0000 4.0410 0.0000
0.0000 0.0000 6.6030
La Si Rh
4 8 16
Direct
0.1387 0.2500 0.0019
0.3613 0.7500 0.5019
0.6387 0.2500 0.4981
0.8613 0.7500 0.9981
0.0367 0.7500 0.7292
0.2116 0.2500 0.4747
0.2884 0.7500 0.9747
0.4633 0.2500 0.2292
0.5367 0.7500 0.7708
0.7116 0.2500 0.0253
0.7884 0.7500 0.5253
0.9633 0.2500 0.2708
0.0284 0.7500 0.1403
0.0703 0.2500 0.5125
0.1811 0.7500 0.6815
0.2025 0.7500 0.2702
0.2975 0.2500 0.7702
0.3189 0.2500 0.1815
0.4297 0.7500 0.0125
0.4716 0.2500 0.6403
0.5284 0.7500 0.3597
0.5703 0.2500 0.9875
0.6811 0.7500 0.8185
0.7025 0.7500 0.2298
0.7975 0.2500 0.7298
0.8189 0.2500 0.3185
0.9297 0.7500 0.4875
0.9716 0.2500 0.8597
```

Values from the calculation:
For the total energy, the calculation gives -204.14 eV/cell. For the energy relative to the elements, uncorrected, the calculation gives -0.837 eV per atom.

---

Ac2Cu3Pd5: optimized geometry, GGA-PBE.

Geometry as POSCAR:
```
Ac2Cu3Pd5
1.0
5.8134 -6.6628 0.0000
5.8134 6.6628 0.0000
-2.8982 0.0000 5.0505
Ac Cu Pd
4 6 10
Direct
0.0994 0.3693 0.2354
0.3693 0.0994 0.7354
0.6307 0.9006 0.2646
0.9006 0.6307 0.7646
0.0779 0.7742 0.4229
0.2258 0.9221 0.0771
0.5005 0.4995 0.2500
0.4995 0.5005 0.7500
0.7742 0.0779 0.9229
0.9221 0.2258 0.5771
0.0010 0.9990 0.7500
0.2200 0.4057 0.8134
0.3009 0.6991 0.7500
0.3023 0.6977 0.2500
0.4057 0.2200 0.3134
0.5943 0.7800 0.6866
0.6977 0.3023 0.7500
0.6991 0.3009 0.2500
0.7800 0.5943 0.1866
0.9990 0.0010 0.2500
```

Values from the calculation:
For the total energy, the calculation gives -102.56 eV/cell.

---

Li4Be3Au16: optimized geometry, GGA-PBE.

Geometry as POSCAR:
```
Li4Be3Au16
1.0
5.8667 0.0000 0.0000
0.0000 5.8667 0.0000
0.0000 0.0000 11.3059
Li Be Au
4 3 16
Direct
0.0000 0.5000 0.1839
0.0000 0.5000 0.8161
0.5000 0.0000 0.1839
0.5000 0.0000 0.8161
0.0000 0.0000 0.0000
0.0000 0.5000 0.5000
0.5000 0.0000 0.5000
0.0000 0.0000 0.1995
0.0000 0.0000 0.8005
0.2517 0.2517 0.3743
0.2517 0.2517 0.6257
0.2517 0.7483 0.3743
0.2517 0.7483 0.6257
0.2640 0.2640 0.0000
0.2640 0.7360 0.0000
0.5000 0.5000 0.1919
0.5000 0.5000 0.8081
0.7360 0.2640 0.0000
0.7360 0.7360 0.0000
0.7483 0.2517 0.3743
0.7483 0.2517 0.6257
0.7483 0.7483 0.3743
0.7483 0.7483 0.6257
```

Values from the calculation:
For the total energy, the calculation gives -76.65 eV/cell.

---

Dy2HoScTe4: optimized geometry, GGA-PBE.

Geometry as POSCAR:
```
Dy2HoScTe4
1.0
7.4812 0.0000 0.0000
0.0000 4.2678 0.0000
-2.4351 0.0000 7.0789
Dy Ho Sc Te
2 1 1 4
Direct
0.0000 0.0000 0.0000
0.5000 0.5000 0.0000
0.0000 0.5000 0.5000
0.5000 0.0000 0.5000
0.2538 0.0000 0.7442
0.2589 0.5000 0.2600
0.7411 0.5000 0.7400
0.7462 0.0000 0.2558
```

Values from the calculation:
For the total energy, the calculation gives -42.44 eV/cell. For the energy relative to the elements, uncorrected, the calculation gives -1.220 eV per atom.

---

BeReSi2: optimized geometry, GGA-PBE.

Geometry as POSCAR:
```
BeReSi2
1.0
1.4213 0.8206 7.4967
-1.4213 0.8206 7.4967
0.0000 -1.6412 7.4967
Be Re Si
1 1 2
Direct
0.0000 0.0000 0.0000
0.5000 0.5000 0.5000
0.2534 0.2534 0.2534
0.7466 0.7466 0.7466
```

Values from the calculation:
For the total energy, the calculation gives -26.46 eV/cell. For the energy relative to the elements, uncorrected, the calculation gives 0.140 eV per atom.

---

CsTbCu2Cl6: optimized geometry, GGA-PBE.

Geometry as POSCAR:
```
CsTbCu2Cl6
1.0
5.0842 -6.9335 0.0000
5.0842 6.9335 0.0000
-2.5634 0.0000 8.2217
Cs Tb Cu Cl
2 2 4 12
Direct
0.1450 0.8550 0.7500
0.8550 0.1450 0.2500
0.4460 0.5540 0.2500
0.5540 0.4460 0.7500
0.0732 0.3614 0.7246
0.3614 0.0732 0.2246
0.6386 0.9268 0.7754
0.9268 0.6386 0.2754
0.1094 0.5313 0.2172
0.2121 0.2300 0.6041
0.2300 0.2121 0.1041
0.3569 0.5746 0.9309
0.4254 0.6431 0.5691
0.4687 0.8906 0.2828
0.5313 0.1094 0.7172
0.5746 0.3569 0.4309
0.6431 0.4254 0.0691
0.7700 0.7879 0.8959
0.7879 0.7700 0.3959
0.8906 0.4687 0.7828
```

Values from the calculation:
For the total energy, the calculation gives -78.54 eV/cell. For the energy relative to the elements, uncorrected, the calculation gives -1.452 eV per atom.

---

CoNiTe2S: optimized geometry, GGA-PBE.

Geometry as POSCAR:
```
CoNiTe2S
1.0
5.2746 0.0000 0.0000
0.0000 5.2746 0.0000
0.0000 0.0000 4.0572
Co Ni Te S
1 1 2 1
Direct
0.0000 0.0000 0.0000
0.5000 0.5000 0.5000
0.0000 0.5000 0.5000
0.5000 0.0000 0.5000
0.5000 0.5000 0.0000
```

Values from the calculation:
For the total energy, the calculation gives -19.99 eV/cell. For the energy relative to the elements, uncorrected, the calculation gives 0.663 eV per atom.

---

SrTiSbTe2: optimized geometry, GGA-PBE.

Geometry as POSCAR:
```
SrTiSbTe2
1.0
6.0042 0.0000 0.0000
0.0000 6.0042 0.0000
0.0000 0.0000 5.8901
Sr Ti Sb Te
1 1 1 2
Direct
0.0000 0.0000 0.0000
0.5000 0.5000 0.5000
0.0000 0.0000 0.5000
0.0000 0.5000 0.0000
0.5000 0.0000 0.0000
```

Values from the calculation:
For the total energy, the calculation gives -16.32 eV/cell. For the energy relative to the elements, uncorrected, the calculation gives 0.732 eV per atom. The calculation puts the energy above the lowest structure with this stoichiometry at 1366.3 meV per atom.

---

YTeCl2: optimized geometry, GGA-PBE.

Geometry as POSCAR:
```
YTeCl2
1.0
-1.7122 2.4656 8.2191
1.7122 -2.4656 8.2191
1.7122 2.4656 -8.2191
Y Te Cl
1 1 2
Direct
0.0000 0.0000 0.0000
0.8388 0.3388 0.5000
0.1228 0.6228 0.5000
0.4971 0.4971 0.0000
```

Values from the calculation:
For the total energy, the calculation gives -18.96 eV/cell. For the energy relative to the elements, uncorrected, the calculation gives -1.416 eV per atom. The calculation puts the energy above the lowest structure with this stoichiometry at 190.1 meV per atom.

---

CaCrMo: optimized geometry, GGA-PBE.

Geometry as POSCAR:
```
CaCrMo
1.0
0.0000 3.3963 3.3963
3.3963 0.0000 3.3963
3.3963 3.3963 0.0000
Ca Cr Mo
1 1 1
Direct
0.0000 0.0000 0.0000
0.7500 0.7500 0.7500
0.2500 0.2500 0.2500
```

Values from the calculation:
For the total energy, the calculation gives -16.02 eV/cell. The calculation puts the energy above the lowest structure with this stoichiometry at 1603.6 meV per atom.

---

LiCeInS4: optimized geometry, GGA-PBE.

Geometry as POSCAR:
```
LiCeInS4
1.0
-3.8010 4.0797 5.5123
3.8010 -4.0797 5.5123
3.8010 4.0797 -5.5123
Li Ce In S
2 2 2 8
Direct
0.3836 0.1336 0.2500
0.6164 0.8664 0.7500
0.0000 0.5000 0.5000
0.5000 0.5000 0.0000
0.0000 0.0000 0.5000
0.0000 0.5000 0.0000
0.2223 0.2491 0.9732
0.2241 0.7509 0.4732
0.2502 0.2633 0.5131
0.2502 0.7371 0.9869
0.7498 0.2629 0.0131
0.7498 0.7367 0.4869
0.7759 0.2491 0.5268
0.7777 0.7509 0.0268
```

Values from the calculation:
For the total energy, the calculation gives -71.24 eV/cell. For the energy relative to the elements, uncorrected, the calculation gives -1.218 eV per atom.

---

LaPm5Tm2: optimized geometry, GGA-PBE.

Geometry as POSCAR:
```
LaPm5Tm2
1.0
-3.6108 3.6108 5.1519
3.6108 -3.6108 5.1519
3.6108 3.6108 -5.1519
La Pm Tm
1 5 2
Direct
0.0000 0.0000 0.0000
0.0000 0.0000 0.5000
0.0000 0.5000 0.0000
0.5000 0.0000 0.0000
0.5000 0.5000 0.0000
0.5000 0.5000 0.5000
0.0000 0.5000 0.5000
0.5000 0.0000 0.5000
```

Values from the calculation:
For the total energy, the calculation gives -37.51 eV/cell.